[1]
Density functional theory data (PBE) for an optimized crystal structure of ZrTaRu2Br.

It has space group P4/mmm (No. 123), with a = 4.773 Å, b = 4.773 Å, c = 4.927 Å, α = 90.00°, β = 90.00° and γ = 90.00°. The asymmetric unit holds Zr at (0.000, 0.000, 0.000), Ta at (0.500, 0.500, 0.500), Ru at (0.000, 0.500, 0.000) and Br at (0.000, 0.000, 0.500).

For the total DFT energy (no corrections), the calculation gives -0.482 Ry/atom. Its density of states at the Fermi level is 6.747 states/eV/f.u. The value obtained for the uncorrected formation energy is 1570 meV/atom.



[2]
Density functional theory data (PBE) for an optimized crystal structure of Tb2RuBr.

It has space group C2/m (No. 12), with a = 7.339 Å, b = 3.601 Å, c = 8.305 Å, α = 90.00°, β = 107.23° and γ = 90.00°. The asymmetric unit holds Tb at (0.228, 0.000, 0.303), Ru at (0.000, 0.000, 0.500) and Br at (0.000, 0.500, 0.000).

For the total DFT energy (no corrections), the calculation gives -0.429 Ry/atom. Its density of states at the Fermi level is 0.922 states/eV/f.u. The value obtained for the uncorrected formation energy is -780 meV/atom.